This record from Alexandria via LeMat-Bulk describes a relaxed structure of NiBC3. The functional is PBE.

Summary:
Its calculated formation energy is 0.4701 eV per atom. For the density of states at the Fermi level, the calculation gives 1.9 states/eV/f.u. The value obtained for the distance to the lowest polymorph of the same formula is 1.18 eV per formula unit. The symmetry is Imm2.

Unit cell a=3.1855 b=2.5705 c=10.9506 alpha=90.00 beta=90.00 gamma=90.00
Last column: nearest neighbours and their distance in Å.
Fractional positions:
1 B 0.5000 0.0000 0.0704  2 C 1.50
2 B 0.0000 0.5000 0.5704  2 C 1.50
3 C 0.5000 0.5000 0.2732  3 C 1.45-1.46
4 C 0.0000 0.5000 0.8361  2 C 1.46
5 C 0.5000 0.0000 0.3361  2 C 1.46
6 C 0.0000 0.0000 0.7732  3 C 1.45-1.46
7 C 0.0000 0.0000 0.6407  1 C 1.45, 2 B 1.50
8 C 0.5000 0.5000 0.1407  1 C 1.45, 2 B 1.50
9 Ni 0.0000 0.5000 0.0078  1 C 1.88
10 Ni 0.5000 0.0000 0.5078  1 C 1.88

---

This record from Alexandria via LeMat-Bulk describes a relaxed structure of BeReAu2. The functional is PBE.

Summary:
Its calculated formation energy is 0.2428 eV per atom. For the density of states at the Fermi level, the calculation gives 3.2 states/eV/f.u. The symmetry is R3m.

Unit cell a=8.9744 b=8.9744 c=8.9744 alpha=18.02 beta=18.02 gamma=18.02
Last column: nearest neighbours and their distance in Å.
Fractional positions:
1 Au 0.2383 0.2383 0.2383  3 Be 2.53, 6 Au 2.81
2 Au 0.0031 0.0031 0.0031  9 Au 2.81-3.06, 3 Re 2.89
3 Re 0.7602 0.7602 0.7602  3 Be 2.49
4 Be 0.4984 0.4984 0.4984  3 Re 2.49, 3 Au 2.53

---

This record from Alexandria via LeMat-Bulk describes a relaxed structure of SiBC2. The functional is PBE.

Summary:
For the density of states at the Fermi level, the calculation gives 1.9 states/eV/f.u. The value obtained for the distance to the lowest polymorph of the same formula is 0.00 eV per formula unit. For the raw formation energy, the calculation gives 94 kJ/mol of formula units. The symmetry is I-42d.

Unit cell a=4.0936 b=4.0936 c=5.0305 alpha=65.99 beta=65.99 gamma=90.00
Last column: nearest neighbours and their distance in Å.
Fractional positions:
1 C 0.5844 0.1250 0.2500  2 B 1.69, 2 Si 1.88
2 C 0.8750 0.8344 0.7500  2 B 1.69, 2 Si 1.88
3 C 0.1656 0.6250 0.2500  2 B 1.69, 2 Si 1.88
4 C 0.3750 0.4156 0.7500  2 B 1.69, 2 Si 1.88
5 B 0.5000 0.5000 0.0000  4 C 1.69
6 B 0.2500 0.7500 0.5000  4 C 1.69
7 Si 0.0000 0.0000 0.0000  4 C 1.88
8 Si 0.7500 0.2500 0.5000  4 C 1.88

---

This record from Alexandria via LeMat-Bulk describes a relaxed structure of LiCa2Ta. The functional is PBE.

Summary:
Its calculated formation energy is 0.8028 eV per atom. For the density of states at the Fermi level, the calculation gives 3.2 states/eV/f.u. The value obtained for the distance to the lowest polymorph of the same formula is 1.25 eV per formula unit. The symmetry is I-4m2.

Unit cell a=6.0557 b=6.0557 c=6.0557 alpha=134.83 beta=134.83 gamma=65.80
Last column: nearest neighbours and their distance in Å.
Fractional positions:
1 Ta 0.7500 0.2500 0.5000  8 Ca 3.29-3.45, 4 Li 3.45
2 Ca 0.2500 0.7500 0.5000  4 Ta 3.29, 4 Li 3.45, 4 Ca 3.45
3 Ca 0.0000 0.0000 0.0000  4 Li 3.29, 4 Ca 3.45, 4 Ta 3.45
4 Li 0.5000 0.5000 0.0000  8 Ca 3.29-3.45, 4 Ta 3.45

---

- Which value of density of states at the Fermi level does entry 4 give?
  3.2 states/eV/f.u.